In2PbAu: relaxed, PBE-GGA.

Calculated values
- calculated formation energy (meV per atom) = 14
- M_tot (μB per formula unit) = 0.00
- VASP energy (eV/cell) = -24.82

a = 4.788 Å, b = 4.788 Å, c = 8.845 Å
α = 90.00°, β = 90.00°, γ = 90.00°
Space group I4/mmm (No. 139)
One atom of each set of equivalent atoms:
In1 0.000 0.500 0.250 [4 per cell]
Pb1 0.000 0.000 0.000 [2 per cell]
Au1 0.000 0.000 0.500 [2 per cell]